# 1
Here is a geometry-optimized Ho3Ga12Ni structure from the Alexandria database. Energies are from PBE.

Values from the calculation:
**Total energy**: -62.3 eV for the cell shown
**DOS(E_F)**: 7.19 states/eV/f.u.
**Total magnetization**: 0.000 μB/atom

Unit cell a=4.271 b=4.271 c=16.080 alpha=90.00 beta=90.00 gamma=90.00
Space group P4/mmm (No. 123)
Inequivalent atoms, fractional coordinates:
Ho: 0.000 0.000 0.000 x1
Ho: 0.000 0.000 0.268 x2
Ga: 0.000 0.500 0.133 x4
Ga: 0.000 0.500 0.399 x4
Ga: 0.500 0.500 0.000 x1
Ga: 0.500 0.500 0.261 x2
Ga: 0.500 0.500 0.500 x1
Ni: 0.000 0.000 0.500 x1

=====

# 2
Here is a geometry-optimized NpBMo structure from the Alexandria database. Energies are from PBE.

Values from the calculation:
**Total energy**: -60.3 eV for the cell shown
**DOS(E_F)**: 4.45 states/eV/f.u.
**Total magnetization**: 0.000 μB/atom

Unit cell a=3.417 b=3.417 c=7.076 alpha=90.00 beta=90.00 gamma=90.00
Space group P4/nmm (No. 129, origin choice 2)
Inequivalent atoms, fractional coordinates:
Np: 0.250 0.750 0.000 x2
B: 0.250 0.250 0.299 x2
Mo: 0.250 0.250 0.625 x2